Material: CaTlCr2
Method: DFT, meta-GGA SCAN
State: PBEsol geometry

Computed properties:
VASP energy = -29.416 eV/atom
N(E_F) = 0.716 states/eV per atom
crystal system = tetragonal
total moment = 7.714 μB/cell

Cell: 4.4084 4.4084 4.1082 Å, 90.00 90.00 90.00°
Last column: nearest neighbours and their distance in Å.
Space group P4/mmm (No. 123)
Unique sites:
Ca 0.0000 0.0000 0.0000 x1  8 Cr 3.01, 4 Tl 3.12
Tl 0.5000 0.5000 0.0000 x1  8 Cr 3.01, 4 Ca 3.12
Cr 0.0000 0.5000 0.5000 x2  4 Tl 3.01, 4 Ca 3.01, 4 Cr 3.12